Density functional theory data (PBE) for crystalline Cd2AgMo at its relaxed geometry.

Unit cell a=2.847 b=4.247 c=6.174 alpha=90.00 beta=90.27 gamma=90.00
Element x y z (fractional)
Cd  0.001  0.000  0.245
Cd  0.999  0.000  0.755
Ag  0.500  0.500  0.500
Mo  0.500  0.500  0.000

- Magnetic moment: 0.80 μB per cell
- E above lowest polymorph: 0.165 eV per atom
- Crystal system: monoclinic
- Formation enthalpy at 0 K: 394.7 meV per atom